(1)
Material: CsCd2BiCl8
Method: DFT, PBE
State: relaxed

a = 6.703 Å, b = 6.817 Å, c = 9.572 Å
α = 74.53°, β = 76.19°, γ = 75.41°
Sites, in units of the cell vectors:
1 Cl 0.830 0.289 0.774
2 Cl 0.631 0.696 0.475
3 Cl 0.733 0.198 0.208
4 Cl 0.723 0.754 0.030
5 Cl 0.170 0.711 0.226
6 Bi 0.000 0.000 0.000
7 Cs 0.000 0.000 0.500
8 Cl 0.267 0.802 0.792
9 Cl 0.277 0.246 0.970
10 Cl 0.369 0.304 0.525
11 Cd 0.547 0.554 0.280
12 Cd 0.453 0.446 0.720

Computed properties:
The total energy comes out at -2.961 eV per atom. As for the theoretical density: 3.5 g/cm3.

=====

(2)
Material: Pm4Ga2N
Method: DFT, PBE
State: relaxed

a = 4.858 Å, b = 4.858 Å, c = 8.398 Å
α = 106.81°, β = 106.81°, γ = 90.00°
Sites, in units of the cell vectors:
1 Pm 0.500 0.000 0.000
2 N 0.000 0.000 0.000
3 Pm 0.000 0.500 0.000
4 Pm 0.171 0.171 0.341
5 Ga 0.369 0.369 0.737
6 Pm 0.829 0.829 0.659
7 Ga 0.631 0.631 0.263

Computed properties:
As for the energy above the lowest structure with this stoichiometry: 49 meV/atom. The total energy comes out at -5.464 eV per atom. As for the theoretical density: 6.7 g/cm3.

=====

(3)
Material: YRe2Pb
Method: DFT, PBE
State: relaxed

a = 5.521 Å, b = 5.521 Å, c = 4.718 Å
α = 67.27°, β = 67.27°, γ = 42.29°
Sites, in units of the cell vectors:
1 Pb 0.750 0.750 0.750
2 Y 0.250 0.250 0.250
3 Re 0.492 0.492 0.605
4 Re 0.008 0.008 0.895

Computed properties:
The calculation puts the formation energy from the elements at 0.517 eV per atom. The total energy comes out at -8.250 eV per atom. As for the theoretical density: 12.6 g/cm3.